## Ac5B2Ir5 (PBE)

Data for crystalline Ac5B2Ir5 at its relaxed geometry.

CIF file:
```
data_Ac5B2Ir5
_cell_length_a 4.067
_cell_length_b 7.832
_cell_length_c 9.510
_cell_angle_alpha 83.29
_cell_angle_beta 90.00
_cell_angle_gamma 105.05
_symmetry_space_group_name_H-M 'P 1'
_symmetry_Int_Tables_number 1
_symmetry_space_group_name_Hall 'P 1'
loop_
_atom_site_label
_atom_site_type_symbol
_atom_site_fract_x
_atom_site_fract_y
_atom_site_fract_z
Ac1 Ac 0.806 0.611 0.334
Ac2 Ac 0.194 0.389 0.666
Ac3 Ac 0.500 0.000 0.500
Ac4 Ac 0.364 0.728 0.926
Ac5 Ac 0.636 0.272 0.074
Ir1 Ir 0.134 0.267 0.326
Ir2 Ir 0.550 0.099 0.794
Ir3 Ir 0.450 0.901 0.206
Ir4 Ir 0.000 0.000 0.000
Ir5 Ir 0.866 0.733 0.674
B1 B 0.992 0.984 0.765
B2 B 0.008 0.016 0.235
```

Computed properties:
Formation energy from the elements, meV/atom: -472